The following is a DFT calculation (PBEsol) of crystalline Li2CaCl at its relaxed geometry.

Its density of states at the Fermi level is 1.65 states/eV per cell. Its offset from the most stable computed form is 0.0 meV per atom. The value obtained for the energy relative to the elements, uncorrected is -715 meV/atom.

abc: 3.576 3.576 8.934
angles: 90.00 90.00 117.44
Sites, in units of the cell vectors:
Cl  0.500  0.500  0.226
Li  0.500  0.500  0.767
Li  0.000  0.000  0.042
Ca  0.000  0.000  0.465